A relaxed InAg4Au crystal. Source: the Alexandria database, functional PBE.

a = 5.168 Å, b = 5.168 Å, c = 5.848 Å
α = 107.07°, β = 107.07°, γ = 49.00°
Atoms (fractional coordinates):
In: 0.000 0.000 0.000
Ag: 0.333 0.333 0.170
Ag: 0.333 0.333 0.664
Ag: 0.667 0.667 0.336
Ag: 0.667 0.667 0.830
Au: 0.000 0.000 0.500

ρ in g cm⁻³: 11.06
E_form in kcal/mol of atoms: -1.1
Polymorph energy (0 for the lowest one) in meV per atom: 0